CaEr2Tc | PBE | relaxed

Lattice parameters (Å, degrees): 3.5246 3.5246 32.2182 90.00 90.00 120.00
Space group R-3m (No. 166, hexagonal axes)
Unique sites:
1 Ca 0.0000 0.0000 0.0000
2 Er 0.0000 0.0000 0.1068
3 Tc 0.0000 0.0000 0.5000

- Offset from the most stable computed form: 24.80 kJ per mole of atoms
- Formation enthalpy at 0 K: 0.232 eV/atom

=====

NiAsSe2 | PBE | relaxed

Lattice parameters (Å, degrees): 3.460 4.299 11.828 90.00 90.00 90.00
Space group Immm (No. 71)
Unique sites:
1 Ni 0.000 0.000 0.000
2 As 0.000 0.000 0.500
3 Se 0.000 0.500 0.358

- Energy relative to the elements, uncorrected: -0.18 eV/f.u.

=====

DOS(E_F) values (in states/eV per atom) by entry order: 1.070 0.341.